Entry 1:
## CdCuRu2 (GGA-PBE)

Data for a geometry-optimized CdCuRu2 structure.

a = 3.8030 Å, b = 3.8030 Å, c = 9.8189 Å
α = 78.83°, β = 78.83°, γ = 90.00°
With the nearest neighbours (Å) after each atom.
Sites, in units of the cell vectors:
1 Cd 0.7500 0.2500 0.5000  4 Cu 2.69, 4 Ru 2.82
2 Cd 0.0000 0.0000 0.0000  4 Cu 2.69, 4 Ru 2.82
3 Cu 0.5000 0.5000 0.0000  4 Ru 2.63, 4 Cd 2.69
4 Cu 0.2500 0.7500 0.5000  4 Ru 2.63, 4 Cd 2.69
5 Ru 0.3750 0.4466 0.7500  2 Ru 2.34
6 Ru 0.1966 0.6250 0.2500  2 Ru 2.34
7 Ru 0.5534 0.1250 0.2500  2 Ru 2.34
8 Ru 0.8750 0.8034 0.7500  2 Ru 2.34

Total DFT energy (no corrections)   -41.70 eV per cell
Calculated density   9194 kg/m³
Formation energy   0.678 eV per atom


Entry 2:
## InGaO3 (GGA-PBE)

Data for a geometry-optimized InGaO3 structure.

a = 3.8063 Å, b = 3.8063 Å, c = 3.8063 Å
α = 90.00°, β = 90.00°, γ = 90.00°
With the nearest neighbours (Å) after each atom.
Sites, in units of the cell vectors:
1 Ga 0.0000 0.0000 0.0000  6 O 1.90
2 In 0.5000 0.5000 0.5000  12 O 2.69
3 O 0.0000 0.0000 0.5000  2 Ga 1.90
4 O 0.5000 0.0000 0.0000  2 Ga 1.90
5 O 0.0000 0.5000 0.0000  2 Ga 1.90

Total DFT energy (no corrections)   -26.01 eV per cell
Calculated density   7002 kg/m³
Formation energy from raw total energies   -24.8 kcal/mol of atoms


Entry 3:
## LaNdTh2Bi5 (GGA-PBE)

Data for a geometry-optimized LaNdTh2Bi5 structure.

a = 5.5408 Å, b = 5.5408 Å, c = 12.0365 Å
α = 90.00°, β = 90.00°, γ = 90.00°
With the nearest neighbours (Å) after each atom.
Sites, in units of the cell vectors:
1 Th 0.5000 0.5000 0.3067  9 Bi 3.62-3.98
2 Th 0.5000 0.5000 0.6933  9 Bi 3.62-3.98
3 Nd 0.0000 0.0000 0.5000  6 Bi 2.77-3.01
4 Bi 0.5000 0.5000 0.0000  2 Th 3.69, 4 La 3.92
5 Bi 0.0000 0.0000 0.2501  1 Nd 3.01, 1 La 3.01
6 Bi 0.5000 0.0000 0.5000  2 Nd 2.77
7 Bi 0.0000 0.0000 0.7499  1 Nd 3.01, 1 La 3.01
8 Bi 0.0000 0.5000 0.5000  2 Nd 2.77
9 La 0.0000 0.0000 0.0000  2 Bi 3.01

Total DFT energy (no corrections)   -43.04 eV per cell
Calculated density   8053 kg/m³
Formation energy   0.100 eV per atom


Entry 4:
## Co2Re (GGA-PBE)

Data for a geometry-optimized Co2Re structure.

a = 4.4579 Å, b = 4.1056 Å, c = 7.7694 Å
α = 90.00°, β = 90.00°, γ = 90.00°
With the nearest neighbours (Å) after each atom.
Sites, in units of the cell vectors:
1 Co 0.3330 0.7500 0.0006  5 Re 2.50-2.66, 7 Co 2.53-2.61
2 Co 0.1670 0.2500 0.5006  5 Re 2.50-2.66, 7 Co 2.53-2.61
3 Co 0.3257 0.7500 0.6674  5 Re 2.52-2.56, 7 Co 2.53-2.61
4 Co 0.8257 0.7500 0.8326  5 Re 2.52-2.56, 7 Co 2.53-2.61
5 Co 0.1743 0.2500 0.1674  5 Re 2.52-2.56, 7 Co 2.53-2.61
6 Co 0.8330 0.7500 0.4994  5 Re 2.50-2.66, 7 Co 2.53-2.61
7 Co 0.6743 0.2500 0.3326  5 Re 2.52-2.56, 7 Co 2.53-2.61
8 Co 0.6670 0.2500 0.9994  5 Re 2.50-2.66, 7 Co 2.53-2.61
9 Re 0.3314 0.7500 0.3430  10 Co 2.50-2.66, 2 Re 2.66
10 Re 0.6686 0.2500 0.6570  10 Co 2.50-2.66, 2 Re 2.66
11 Re 0.8314 0.7500 0.1570  10 Co 2.50-2.66, 2 Re 2.66
12 Re 0.1686 0.2500 0.8430  10 Co 2.50-2.66, 2 Re 2.66

Total DFT energy (no corrections)   -106.85 eV per cell
ΔE to the lowest computed polymorph   31 meV/atom
Calculated density   14203 kg/m³
Formation energy   -0.018 eV per atom


Entry 5:
## PrScCd17 (GGA-PBE)

Data for a geometry-optimized PrScCd17 structure.

a = 7.6629 Å, b = 7.6629 Å, c = 7.6629 Å
α = 81.75°, β = 81.75°, γ = 81.75°
With the nearest neighbours (Å) after each atom.
Sites, in units of the cell vectors:
1 Cd 0.6098 0.6098 0.2235  6 Cd 2.87-3.18
2 Cd 0.1054 0.1054 0.1054  4 Cd 2.92-2.96, 1 Sc 3.19
3 Cd 0.0035 0.6956 0.3004  6 Cd 2.91-3.09
4 Cd 0.9115 0.9115 0.9115  4 Cd 2.88-2.92
5 Cd 0.6956 0.3004 0.0035  6 Cd 2.91-3.09
6 Cd 0.3004 0.0035 0.6956  6 Cd 2.91-3.09
7 Cd 0.3004 0.6956 0.0035  6 Cd 2.91-3.09
8 Cd 0.8865 0.3454 0.3454  7 Cd 2.87-3.02
9 Cd 0.3454 0.3454 0.8865  7 Cd 2.87-3.02
10 Cd 0.6098 0.2235 0.6098  6 Cd 2.87-3.18
11 Cd 0.9737 0.5299 0.9737  9 Cd 2.88-3.18
12 Cd 0.2235 0.6098 0.6098  6 Cd 2.87-3.18
13 Cd 0.6956 0.0035 0.3004  6 Cd 2.91-3.09
14 Cd 0.0035 0.3004 0.6956  6 Cd 2.91-3.09
15 Cd 0.3454 0.8865 0.3454  7 Cd 2.87-3.02
16 Cd 0.9737 0.9737 0.5299  9 Cd 2.88-3.18
17 Cd 0.5299 0.9737 0.9737  9 Cd 2.88-3.18
18 Pr 0.6691 0.6691 0.6691  16 Cd 3.49-3.80
19 Sc 0.3173 0.3173 0.3173  13 Cd 3.19-3.49

Total DFT energy (no corrections)   -28.52 eV per cell
Calculated density   7964 kg/m³
Formation energy   -0.097 eV per atom


Entry 6:
## Sr5P3O13 (GGA-PBE)

Data for a geometry-optimized Sr5P3O13 structure.

a = 9.9030 Å, b = 9.9030 Å, c = 7.3509 Å
α = 90.00°, β = 90.00°, γ = 120.00°
With the nearest neighbours (Å) after each atom.
Sites, in units of the cell vectors:
1 O 0.4184 0.5391 0.7500  1 P 1.56
2 O 0.7390 0.0844 0.0784  1 P 1.56
3 O 0.8793 0.4184 0.2500  1 P 1.56
4 O 0.6546 0.7390 0.9216  1 P 1.56
5 O 0.7390 0.0844 0.4216  1 P 1.56
6 O 0.5816 0.4609 0.2500  1 P 1.56
7 O 0.3454 0.2610 0.4216  1 P 1.56
8 O 0.0844 0.3454 0.9216  1 P 1.56
9 O 0.2610 0.9156 0.5784  1 P 1.56
10 O 0.3454 0.2610 0.0784  1 P 1.56
11 O 0.4609 0.8793 0.7500  1 P 1.56
12 O 0.6546 0.7390 0.5784  1 P 1.56
13 O 0.5197 0.8524 0.2500  1 P 1.56
14 O 0.9156 0.6546 0.4216  1 P 1.56
15 O 0.6673 0.5197 0.7500  1 P 1.56
16 O 0.1476 0.6673 0.2500  1 P 1.56
17 O 0.9156 0.6546 0.0784  1 P 1.56
18 O 0.0000 0.0000 0.2500  3 Sr 2.50
19 O 0.1207 0.5816 0.7500  1 P 1.56
20 O 0.4803 0.1476 0.7500  1 P 1.56
21 O 0.8524 0.3327 0.7500  1 P 1.56
22 O 0.2610 0.9156 0.9216  1 P 1.56
23 O 0.5391 0.1207 0.2500  1 P 1.56
24 O 0.0844 0.3454 0.5784  1 P 1.56
25 O 0.3327 0.4803 0.2500  1 P 1.56
26 O 0.0000 0.0000 0.7500  3 Sr 2.50
27 P 0.6328 0.0322 0.2500  4 O 1.56
28 P 0.3994 0.3672 0.2500  4 O 1.56
29 P 0.0322 0.3994 0.7500  4 O 1.56
30 P 0.3672 0.9678 0.7500  4 O 1.56
31 P 0.9678 0.6006 0.2500  4 O 1.56
32 P 0.6006 0.6328 0.7500  4 O 1.56
33 Sr 0.3333 0.6667 0.4999  6 O 2.60
34 Sr 0.7423 0.7535 0.2500  6 O 2.50-2.68
35 Sr 0.6667 0.3333 0.9999  6 O 2.60
36 Sr 0.9887 0.7423 0.7500  6 O 2.50-2.68
37 Sr 0.2577 0.2465 0.7500  6 O 2.50-2.68
38 Sr 0.6667 0.3333 0.5001  6 O 2.60
39 Sr 0.0113 0.2577 0.2500  6 O 2.50-2.68
40 Sr 0.3333 0.6667 0.0001  6 O 2.60
41 Sr 0.2465 0.9887 0.2500  6 O 2.50-2.68
42 Sr 0.7535 0.0113 0.7500  6 O 2.50-2.68

Total DFT energy (no corrections)   -296.43 eV per cell
Calculated density   3931 kg/m³
Formation energy from raw total energies   -64.9 kcal/mol of atoms